Entry 1:
Computed, not measured: a relaxed structure of ErAlNi2 at the PBE level of DFT.

Calculated values
* DFT total energy: -5.42 eV per atom
* DOS at the Fermi energy: 1.79 states/eV per cell

a = 3.162 Å, b = 3.162 Å, c = 6.176 Å
α = 90.00°, β = 90.00°, γ = 90.00°
Fractional positions:
Er  0.000  0.000  0.000
Al  0.000  0.000  0.500
Ni  0.500  0.500  0.293
Ni  0.500  0.500  0.707

---

Entry 2:
Computed, not measured: a relaxed structure of Er2AlNi2 at the PBE level of DFT.

Calculated values
* DFT total energy: -5.46 eV per atom
* DOS at the Fermi energy: 3.49 states/eV per cell

a = 5.344 Å, b = 5.344 Å, c = 5.344 Å
α = 134.21°, β = 119.83°, γ = 78.77°
Fractional positions:
Er  0.202  0.202  0.000
Er  0.798  0.798  0.000
Al  0.500  0.000  0.500
Ni  0.234  0.500  0.734
Ni  0.766  0.500  0.266

---

Entry 3:
Computed, not measured: a relaxed structure of Er2Al3Ni at the PBE level of DFT.

Calculated values
* DFT total energy: -4.89 eV per atom
* DOS at the Fermi energy: 3.13 states/eV per cell

a = 5.330 Å, b = 5.330 Å, c = 5.330 Å
α = 61.82°, β = 61.82°, γ = 61.82°
Fractional positions:
Er  0.125  0.125  0.125
Er  0.875  0.875  0.875
Al  0.000  0.500  0.500
Al  0.500  0.000  0.500
Al  0.500  0.500  0.000
Ni  0.500  0.500  0.500

---

Entry 4:
Computed, not measured: a relaxed structure of Er2Al8Ni at the PBE level of DFT.

Calculated values
* DFT total energy: -4.52 eV per atom
* DOS at the Fermi energy: 1.88 states/eV per cell

a = 4.215 Å, b = 4.215 Å, c = 11.040 Å
α = 90.00°, β = 90.00°, γ = 90.00°
Fractional positions:
Er  0.000  0.000  0.191
Er  0.000  0.000  0.809
Al  0.000  0.500  0.000
Al  0.000  0.500  0.380
Al  0.000  0.500  0.620
Al  0.500  0.000  0.000
Al  0.500  0.000  0.380
Al  0.500  0.000  0.620
Al  0.500  0.500  0.196
Al  0.500  0.500  0.804
Ni  0.000  0.000  0.500

---

Entry 5:
Computed, not measured: a relaxed structure of Er2AlNi at the PBE level of DFT.

Calculated values
* DFT total energy: -5.08 eV per atom
* DOS at the Fermi energy: 2.59 states/eV per cell

a = 3.378 Å, b = 3.378 Å, c = 7.308 Å
α = 90.00°, β = 90.00°, γ = 90.00°
Fractional positions:
Er  0.000  0.000  0.224
Er  0.000  0.000  0.776
Al  0.500  0.500  0.500
Ni  0.500  0.500  0.000

---

Entry 6:
Computed, not measured: a relaxed structure of ErAl4Ni4 at the PBE level of DFT.

Calculated values
* DFT total energy: -5.09 eV per atom
* DOS at the Fermi energy: 5.09 states/eV per cell

a = 6.174 Å, b = 6.174 Å, c = 6.174 Å
α = 97.35°, β = 97.35°, γ = 138.09°
Fractional positions:
Er  0.000  0.000  0.000
Al  0.118  0.605  0.724
Al  0.395  0.118  0.513
Al  0.605  0.882  0.487
Al  0.882  0.395  0.276
Ni  0.183  0.309  0.492
Ni  0.309  0.817  0.126
Ni  0.691  0.183  0.874
Ni  0.817  0.691  0.508

---

Entry 7:
Computed, not measured: a relaxed structure of Er2Al5Ni4 at the PBE level of DFT.

Calculated values
* DFT total energy: -5.20 eV per atom
* DOS at the Fermi energy: 4.23 states/eV per cell

a = 8.861 Å, b = 8.081 Å, c = 5.193 Å
α = 80.57°, β = 64.12°, γ = 35.32°
Fractional positions:
Er  0.131  0.131  0.869
Er  0.869  0.869  0.131
Al  0.000  0.000  0.500
Al  0.250  0.250  0.250
Al  0.500  0.500  0.000
Al  0.500  0.500  0.500
Al  0.750  0.750  0.750
Ni  0.213  0.528  0.472
Ni  0.472  0.787  0.213
Ni  0.528  0.213  0.787
Ni  0.787  0.472  0.528

---

Entry 8:
Computed, not measured: a relaxed structure of Er12AlNi5 at the PBE level of DFT.

Calculated values
* DFT total energy: -5.20 eV per atom
* DOS at the Fermi energy: 16.61 states/eV per cell

a = 8.201 Å, b = 8.201 Å, c = 8.201 Å
α = 111.52°, β = 110.10°, γ = 106.82°
Fractional positions:
Er  0.029  0.219  0.810
Er  0.183  0.291  0.474
Er  0.183  0.709  0.891
Er  0.324  0.021  0.697
Er  0.324  0.627  0.303
Er  0.408  0.219  0.190
Er  0.592  0.781  0.810
Er  0.676  0.373  0.697
Er  0.676  0.979  0.303
Er  0.817  0.291  0.109
Er  0.817  0.709  0.526
Er  0.971  0.781  0.190
Al  0.500  0.500  0.000
Ni  0.000  0.000  0.000
Ni  0.124  0.624  0.500
Ni  0.361  0.000  0.361
Ni  0.639  0.000  0.639
Ni  0.876  0.376  0.500

---

Entry 9:
Computed, not measured: a relaxed structure of Er8AlNi2 at the PBE level of DFT.

Calculated values
* DFT total energy: -4.86 eV per atom
* DOS at the Fermi energy: 13.74 states/eV per cell

a = 7.818 Å, b = 7.818 Å, c = 5.219 Å
α = 97.93°, β = 97.93°, γ = 113.80°
Fractional positions:
Er  0.074  0.328  0.577
Er  0.245  0.755  0.000
Er  0.328  0.074  0.577
Er  0.385  0.385  0.193
Er  0.615  0.615  0.807
Er  0.672  0.926  0.423
Er  0.755  0.245  0.000
Er  0.926  0.672  0.423
Al  0.000  0.000  0.000
Ni  0.308  0.692  0.500
Ni  0.692  0.308  0.500

---

Entry 10:
Computed, not measured: a relaxed structure of Er3Al4Ni at the PBE level of DFT.

Calculated values
* DFT total energy: -4.72 eV per atom
* DOS at the Fermi energy: 10.46 states/eV per cell

a = 5.486 Å, b = 10.459 Å, c = 5.949 Å
α = 90.00°, β = 90.00°, γ = 90.00°
Fractional positions:
Er  0.250  0.013  0.179
Er  0.250  0.487  0.179
Er  0.250  0.750  0.557
Er  0.750  0.250  0.443
Er  0.750  0.513  0.821
Er  0.750  0.987  0.821
Al  0.006  0.750  0.030
Al  0.250  0.108  0.664
Al  0.250  0.392  0.664
Al  0.494  0.750  0.030
Al  0.506  0.250  0.970
Al  0.750  0.608  0.336
Al  0.750  0.892  0.336
Al  0.994  0.250  0.970
Ni  0.250  0.250  0.327
Ni  0.750  0.750  0.673

---

Entry 11:
Computed, not measured: a relaxed structure of Er2AlNi at the PBE level of DFT.

Calculated values
* DFT total energy: -4.40 eV per atom
* DOS at the Fermi energy: 1.26 states/eV per cell

a = 9.922 Å, b = 9.922 Å, c = 9.922 Å
α = 19.08°, β = 19.08°, γ = 19.08°
Fractional positions:
Er  0.085  0.085  0.085
Er  0.915  0.915  0.915
Al  0.500  0.500  0.500
Ni  0.000  0.000  0.000

---

Entry 12:
Computed, not measured: a relaxed structure of Er12AlNi6 at the PBE level of DFT.

Calculated values
* DFT total energy: -5.27 eV per atom
* DOS at the Fermi energy: 19.87 states/eV per cell

a = 8.287 Å, b = 8.287 Å, c = 8.287 Å
α = 109.47°, β = 109.47°, γ = 109.47°
Fractional positions:
Er  0.114  0.813  0.301
Er  0.187  0.301  0.487
Er  0.187  0.699  0.886
Er  0.301  0.114  0.813
Er  0.301  0.487  0.187
Er  0.487  0.187  0.301
Er  0.513  0.813  0.699
Er  0.699  0.513  0.813
Er  0.699  0.886  0.187
Er  0.813  0.301  0.114
Er  0.813  0.699  0.513
Er  0.886  0.187  0.699
Al  0.000  0.000  0.000
Ni  0.124  0.624  0.500
Ni  0.376  0.500  0.876
Ni  0.500  0.124  0.624
Ni  0.500  0.876  0.376
Ni  0.624  0.500  0.124
Ni  0.876  0.376  0.500